Entry 1:
A plane-wave DFT calculation with PBE was carried out for crystalline MgBeSb at its relaxed geometry.

Uncorrected energy, eV for the cell shown: -37.08
E above lowest polymorph, kJ/mol of formula units: 27
Total moment, μB per atom: 0.00
Uncorrected formation energy, eV per atom: 0.058

a b c (Å): 10.025 4.020 6.219
angles (deg): 90.00 90.00 90.00
Space group Pnma (No. 62)
Unique sites:
Mg 0.096 0.250 0.145 x4
Be 0.167 0.750 0.856 x4
Sb 0.157 0.250 0.633 x4


Entry 2:
A plane-wave DFT calculation with PBE was carried out for crystalline MgBeSb at its relaxed geometry.

Uncorrected energy, eV for the cell shown: -18.93
E above lowest polymorph, kJ/mol of formula units: 8
Total moment, μB per atom: 0.00
Uncorrected formation energy, eV per atom: -0.008

a b c (Å): 4.080 4.087 9.131
angles (deg): 90.42 102.41 119.71
Space group P1 (No. 1)
Unique sites:
Mg 0.000 0.000 0.000 x1
Mg 0.037 0.512 0.539 x1
Be 0.623 0.804 0.416 x1
Be 0.799 0.896 0.688 x1
Sb 0.225 0.104 0.315 x1
Sb 0.537 0.268 0.798 x1


Entry 3:
A plane-wave DFT calculation with PBE was carried out for crystalline Mg2BeSb at its relaxed geometry.

Uncorrected energy, eV for the cell shown: -20.42
E above lowest polymorph, kJ/mol of formula units: 64
Total moment, μB per atom: 0.00
Uncorrected formation energy, eV per atom: 0.206

a b c (Å): 9.013 3.232 5.710
angles (deg): 90.00 102.35 90.00
Space group C2/m (No. 12)
Unique sites:
Mg 0.237 0.000 0.208 x4
Be 0.000 0.500 0.000 x2
Sb 0.000 0.000 0.500 x2


Entry 4:
A plane-wave DFT calculation with PBE was carried out for crystalline MgBe2Sb at its relaxed geometry.

Uncorrected energy, eV for the cell shown: -22.73
E above lowest polymorph, kJ/mol of formula units: 100
Total moment, μB per atom: 0.00
Uncorrected formation energy, eV per atom: 0.451

a b c (Å): 9.063 3.047 5.558
angles (deg): 90.00 111.24 90.00
Space group C2/m (No. 12)
Unique sites:
Mg 0.000 0.000 0.000 x2
Be 0.232 0.000 0.842 x4
Sb 0.000 0.500 0.500 x2